[1]
Material: Co2WSe
Method: DFT, meta-GGA SCAN
State: single point on PBEsol structure

## Properties
Space group = I4/mmm (139)
ΔE_f (raw) = 706 meV per atom
N(E_F) = 0.89 states/eV/atom
Magnetization = 0.0 μB/cell
ρ = 12.52 g cm⁻³

a = 4.5464 Å, b = 4.5464 Å, c = 4.5464 Å
α = 132.24°, β = 132.24°, γ = 69.85°
Last column: nearest neighbours and their distance in Å.
Element x y z (fractional)
Co 0.2500 0.7500 0.5000  4 Co 2.60, 4 W 2.62, 4 Se 2.62
Co 0.7500 0.2500 0.5000  4 Co 2.60, 4 W 2.62, 4 Se 2.62
W 0.0000 0.0000 0.0000  4 Se 2.60, 8 Co 2.62
Se 0.5000 0.5000 0.0000  4 W 2.60, 8 Co 2.62


[2]
Material: CdInP2
Method: DFT, meta-GGA SCAN
State: single point on PBEsol structure

## Properties
Space group = P2/m (10)
Energy = -21.040 eV per atom
N(E_F) = 0.36 states/eV/atom
Magnetization = 0.0 μB/cell
ρ = 5.58 g cm⁻³

a = 4.4886 Å, b = 3.8164 Å, c = 5.1866 Å
α = 90.00°, β = 104.52°, γ = 90.00°
Last column: nearest neighbours and their distance in Å.
Element x y z (fractional)
Cd 0.0000 0.0000 0.0000  4 P 2.72, 2 In 2.97
In 0.5000 0.0000 0.5000  4 P 2.75, 2 Cd 2.97
P 0.1698 0.5000 0.6914  1 P 2.18
P 0.8302 0.5000 0.3086  1 P 2.18


[3]
Material: Ta2FeW
Method: DFT, meta-GGA SCAN
State: single point on PBEsol structure

## Properties
Space group = Imm2 (44)
Energy = -55.234 eV per atom
N(E_F) = 0.73 states/eV/atom
Magnetization = 1.2 μB/cell
ρ = 16.24 g cm⁻³

a = 5.1639 Å, b = 5.1639 Å, c = 5.1639 Å
α = 144.34°, β = 129.16°, γ = 63.65°
Last column: nearest neighbours and their distance in Å.
Element x y z (fractional)
Ta 0.0000 0.0000 0.0000  2 W 2.72, 4 Fe 2.72, 4 Ta 2.79-3.05
Ta 0.7383 0.2383 0.5000  2 Fe 2.67, 4 W 2.73, 2 Ta 2.79
Fe 0.4933 0.4933 0.0000  2 W 2.64, 6 Ta 2.67-2.72
W 0.2524 0.7524 0.5000  2 Fe 2.64, 6 Ta 2.72-2.73


[4]
Material: K6Na2MnH24W6O36
Method: DFT, meta-GGA SCAN
State: single point on PBEsol structure

## Properties
Space group = R-3m (166)
Energy = -12.409 eV per atom
N(E_F) = 0.00 states/eV/atom
Magnetization = 3.1 μB/cell
ρ = 3.82 g cm⁻³

a = 9.6424 Å, b = 9.6424 Å, c = 9.6424 Å
α = 84.75°, β = 84.75°, γ = 84.75°
Last column: nearest neighbours and their distance in Å.
Element x y z (fractional)
K 0.1679 0.1679 0.5958  8 O 2.81-2.94, 6 H 2.98-3.12
K 0.1679 0.5958 0.1679  8 O 2.81-2.94, 6 H 2.98-3.12
K 0.4042 0.8321 0.8321  8 O 2.81-2.94, 6 H 2.98-3.12
K 0.5958 0.1679 0.1679  8 O 2.81-2.94, 6 H 2.98-3.12
K 0.8321 0.4042 0.8321  8 O 2.81-2.94, 6 H 2.98-3.12
K 0.8321 0.8321 0.4042  8 O 2.81-2.94, 6 H 2.98-3.12
Na 0.2318 0.2318 0.2318  6 O 2.36-2.40
Na 0.7682 0.7682 0.7682  6 O 2.36-2.40
Mn 0.5000 0.5000 0.5000  6 O 1.92
H 0.0201 0.4028 0.4028  1 O 1.00
H 0.0261 0.6496 0.9036  1 O 0.99
H 0.0261 0.9036 0.6496  1 O 0.99
H 0.0964 0.3504 0.9739  1 O 0.99
H 0.0964 0.9739 0.3504  1 O 0.99
H 0.1538 0.4576 0.4576  1 O 0.99
H 0.3504 0.0964 0.9739  1 O 0.99
H 0.3504 0.9739 0.0964  1 O 0.99
H 0.4028 0.0201 0.4028  1 O 1.00
H 0.4028 0.4028 0.0201  1 O 1.00
H 0.4576 0.1538 0.4576  1 O 0.99
H 0.4576 0.4576 0.1538  1 O 0.99
H 0.5424 0.5424 0.8462  1 O 0.99
H 0.5424 0.8462 0.5424  1 O 0.99
H 0.5972 0.5972 0.9799  1 O 1.00
H 0.5972 0.9799 0.5972  1 O 1.00
H 0.6496 0.0261 0.9036  1 O 0.99
H 0.6496 0.9036 0.0261  1 O 0.99
H 0.8462 0.5424 0.5424  1 O 0.99
H 0.9036 0.0261 0.6496  1 O 0.99
H 0.9036 0.6496 0.0261  1 O 0.99
H 0.9739 0.0964 0.3504  1 O 0.99
H 0.9739 0.3504 0.0964  1 O 0.99
H 0.9799 0.5972 0.5972  1 O 1.00
W 0.2557 0.5000 0.7443  4 O 1.78-1.96
W 0.2557 0.7443 0.5000  4 O 1.78-1.96
W 0.5000 0.2557 0.7443  4 O 1.78-1.96
W 0.5000 0.7443 0.2557  4 O 1.78-1.96
W 0.7443 0.2557 0.5000  4 O 1.78-1.96
W 0.7443 0.5000 0.2557  4 O 1.78-1.96
O 0.0768 0.0768 0.3506  2 H 0.99
O 0.0768 0.3506 0.0768  2 H 0.99
O 0.1246 0.3934 0.3934  2 H 0.99-1.00
O 0.1329 0.3737 0.7900  1 H 1.77, 1 W 1.78
O 0.1329 0.7900 0.3737  1 H 1.77, 1 W 1.78
O 0.1540 0.5873 0.5873  2 H 1.67-1.85
O 0.2100 0.6263 0.8671  1 H 1.77, 1 W 1.78
O 0.2100 0.8671 0.6263  1 H 1.77, 1 W 1.78
O 0.3506 0.0768 0.0768  2 H 0.99
O 0.3737 0.1329 0.7900  1 H 1.77, 1 W 1.78
O 0.3738 0.3738 0.5972  1 Mn 1.92, 2 W 2.13
O 0.3738 0.5972 0.3738  1 Mn 1.92, 2 W 2.13
O 0.3737 0.7900 0.1329  1 H 1.77, 1 W 1.78
O 0.3934 0.1246 0.3934  2 H 0.99-1.00
O 0.3934 0.3934 0.1246  2 H 0.99-1.00
O 0.4028 0.6262 0.6262  1 Mn 1.92, 2 W 2.13
O 0.4127 0.4127 0.8460  2 H 1.67-1.85
O 0.4127 0.8460 0.4127  2 H 1.67-1.85
O 0.5873 0.1540 0.5873  2 H 1.67-1.85
O 0.5873 0.5873 0.1540  2 H 1.67-1.85
O 0.5972 0.3738 0.3738  1 Mn 1.92, 2 W 2.13
O 0.6066 0.6066 0.8754  2 H 0.99-1.00
O 0.6066 0.8754 0.6066  2 H 0.99-1.00
O 0.6263 0.2100 0.8671  1 H 1.77, 1 W 1.78
O 0.6262 0.4028 0.6262  1 Mn 1.92, 2 W 2.13
O 0.6262 0.6262 0.4028  1 Mn 1.92, 2 W 2.13
O 0.6263 0.8671 0.2100  1 H 1.77, 1 W 1.78
O 0.6494 0.9232 0.9232  2 H 0.99
O 0.7900 0.1329 0.3737  1 H 1.77, 1 W 1.78
O 0.7900 0.3737 0.1329  1 H 1.77, 1 W 1.78
O 0.8460 0.4127 0.4127  2 H 1.67-1.85
O 0.8671 0.2100 0.6263  1 H 1.77, 1 W 1.78
O 0.8671 0.6263 0.2100  1 H 1.77, 1 W 1.78
O 0.8754 0.6066 0.6066  2 H 0.99-1.00
O 0.9232 0.6494 0.9232  2 H 0.99
O 0.9232 0.9232 0.6494  2 H 0.99


> N(E_F) of number 3 (Ta2FeW)?

0.73 states/eV/atom